Record 1
Rb2Nd2PaSe6: optimized geometry, PBE.

* formation energy without anion corrections: -1648 meV per atom

```
Rb2Nd2PaSe6
1.0
3.731 -6.421 0.000
3.731 6.421 0.000
-2.531 0.000 8.198
Rb Nd Pa Se
2 2 1 6
Direct
0.169 0.831 0.000
0.831 0.169 0.000
0.334 0.666 0.500
0.666 0.334 0.500
0.000 0.000 0.500
0.065 0.388 0.695
0.254 0.254 0.306
0.388 0.065 0.695
0.612 0.935 0.305
0.746 0.746 0.694
0.935 0.612 0.305
```


Record 2
Rb2NdPaTe4: optimized geometry, PBE.

* formation energy without anion corrections: -1145 meV per atom

```
Rb2NdPaTe4
1.0
7.908 0.000 0.000
0.000 4.539 0.000
-2.604 0.000 8.670
Rb Nd Pa Te
2 1 1 4
Direct
0.000 0.000 0.000
0.500 0.500 0.000
0.000 0.500 0.500
0.500 0.000 0.500
0.242 0.000 0.707
0.270 0.500 0.295
0.730 0.500 0.705
0.758 0.000 0.293
```


Record 3
NdPa2Re: optimized geometry, PBE.

```
NdPa2Re
1.0
1.925 1.112 8.857
-1.925 1.112 8.857
0.000 -2.223 8.857
Nd Pa Re
1 2 1
Direct
0.000 0.000 0.000
0.227 0.227 0.227
0.773 0.773 0.773
0.500 0.500 0.500
```


| no. | E (eV per atom) |
| --- | --- |
| 1 | -5.454 |
| 2 | -4.740 |
| 3 | -8.757 |